[1]
A geometry-optimized Lu2ScRh structure. Source: Alexandria, functional GGA-PBE.

The structure belongs to space group P4/mmm (No. 123); the cell edges are 4.8719, 4.8719 and 3.6906 Å and the angles 90.00°, 90.00° and 90.00°. Symmetry generates all atoms from Lu at (0.0000, 0.5000, 0.0000), Sc at (0.0000, 0.0000, 0.5000) and Rh at (0.5000, 0.5000, 0.5000).

The calculation puts the formation energy from the elements at -1.40 eV per formula unit. The density of states at the Fermi level is 0.5749 states/eV/atom. Its total energy is -24.1 eV for the cell shown.

[2]
A geometry-optimized LuScSnRh structure. Source: Alexandria, functional GGA-PBE.

The structure belongs to space group F-43m (No. 216); the cell edges are 6.9377, 6.9377 and 6.9377 Å and the angles 90.00°, 90.00° and 90.00°. Symmetry generates all atoms from Lu at (0.0000, 0.0000, 0.0000), Sc at (0.0000, 0.0000, 0.5000), Sn at (0.2500, 0.2500, 0.7500) and Rh at (0.2500, 0.2500, 0.2500).

The calculation puts the formation energy from the elements at -2.73 eV per formula unit. The density of states at the Fermi level is 0.5271 states/eV/atom. Its total energy is -99.7 eV for the cell shown.

[3]
A geometry-optimized TbLuScRh structure. Source: Alexandria, functional GGA-PBE.

The structure belongs to space group F-43m (No. 216); the cell edges are 7.1195, 7.1195 and 7.1195 Å and the angles 90.00°, 90.00° and 90.00°. Symmetry generates all atoms from Tb at (0.0000, 0.0000, 0.0000), Lu at (0.0000, 0.0000, 0.5000), Sc at (0.2500, 0.2500, 0.7500) and Rh at (0.2500, 0.2500, 0.2500).

The calculation puts the formation energy from the elements at -0.93 eV per formula unit. The density of states at the Fermi level is 1.0004 states/eV/atom. Its total energy is -95.0 eV for the cell shown.

[4]
A geometry-optimized LuScTlRh structure. Source: Alexandria, functional GGA-PBE.

The structure belongs to space group F-43m (No. 216); the cell edges are 6.9630, 6.9630 and 6.9630 Å and the angles 90.00°, 90.00° and 90.00°. Symmetry generates all atoms from Lu at (0.0000, 0.0000, 0.0000), Sc at (0.0000, 0.0000, 0.5000), Tl at (0.2500, 0.2500, 0.7500) and Rh at (0.2500, 0.2500, 0.2500).

The calculation puts the formation energy from the elements at -2.06 eV per formula unit. The density of states at the Fermi level is 0.4439 states/eV/atom. Its total energy is -90.5 eV for the cell shown.